# 1
Material: NaRePd
Method: DFT, GGA-PBE
State: optimized geometry

Computed properties:
SG = Imma, No. 74
polymorph energy (0 for the lowest one) = 247 meV per atom
ΔE_f = 0.4921 eV per atom

Cell: 5.7178 4.8782 7.8378 Å, 90.00 90.00 90.00°
Positions (direct):
Re (0.0000, 0.0000, 0.0000)
Re (0.5000, 0.5000, 0.5000)
Re (0.5000, 0.0000, 0.5000)
Re (0.0000, 0.5000, 0.0000)
Pd (0.2500, 0.2500, 0.2500)
Pd (0.2500, 0.7500, 0.7500)
Pd (0.7500, 0.7500, 0.7500)
Pd (0.7500, 0.2500, 0.2500)
Na (0.5000, 0.2500, 0.8803)
Na (0.0000, 0.7500, 0.3803)
Na (0.5000, 0.7500, 0.1197)
Na (0.0000, 0.2500, 0.6197)

=====

# 2
Material: SmEr2Ir
Method: DFT, GGA-PBE
State: optimized geometry

Computed properties:
SG = Cmcm, No. 63
polymorph energy (0 for the lowest one) = 35 meV per atom
ΔE_f = -0.5396 eV per atom

Cell: 3.8585 6.3983 9.1005 Å, 90.00 90.00 107.56°
Positions (direct):
Sm (0.9287, 0.8574, 0.2500)
Sm (0.0713, 0.1426, 0.7500)
Er (0.3568, 0.7136, 0.5667)
Er (0.6432, 0.2864, 0.4333)
Er (0.3568, 0.7136, 0.9333)
Er (0.6432, 0.2864, 0.0667)
Ir (0.7514, 0.5029, 0.7500)
Ir (0.2486, 0.4971, 0.2500)

=====

# 3
Material: TbBRu
Method: DFT, GGA-PBE
State: optimized geometry

Computed properties:
SG = Cm, No. 8
polymorph energy (0 for the lowest one) = 408 meV per atom
ΔE_f = -0.0197 eV per atom

Cell: 5.6317 4.7198 4.7198 Å, 66.50 42.12 42.12°
Positions (direct):
B (0.4257, 0.5904, 0.5904)
Tb (0.4825, 0.9559, 0.9559)
Ru (0.7751, 0.1295, 0.1295)

=====

# 4
Material: Sm2TmNpSb4
Method: DFT, GGA-PBE
State: optimized geometry

Computed properties:
SG = P2/m, No. 10
uncorrected formation energy = -690 kJ/mol of formula units

Cell: 4.4184 7.6499 7.6589 Å, 109.32 90.00 90.00°
Site moments in Bohr magnetons follow the coordinates.
Positions (direct):
Sm (0.5000, 0.0000, 0.5000)  0.02
Sm (0.0000, 0.5000, 0.5000)  0.00
Tm (0.5000, 0.5000, 0.0000)  0.00
Np (0.0000, 0.0000, 0.0000)  3.85
Sb (0.5000, 0.2498, 0.2436)  -0.05
Sb (0.5000, 0.7502, 0.7564)  -0.05
Sb (0.0000, 0.2539, 0.7583)  -0.03
Sb (0.0000, 0.7461, 0.2417)  -0.03

=====

# 5
Material: NbRh3
Method: DFT, GGA-PBE
State: optimized geometry

Computed properties:
SG = Pm-3m, No. 221
ΔE_f = -0.5160 eV per atom

Cell: 3.9048 3.9045 3.9046 Å, 90.00 90.00 90.00°
Positions (direct):
Nb (0.5000, 0.0000, 0.5833)
Rh (0.0000, 0.0000, 0.0833)
Rh (0.0000, 0.5000, 0.5834)
Rh (0.5000, 0.5000, 0.0834)

=====

# 6
Material: Nd2Zn5Rh
Method: DFT, GGA-PBE
State: optimized geometry

Computed properties:
SG = Cmcm, No. 63
ΔE_f = -0.3908 eV per atom

Cell: 4.2200 8.5193 9.1236 Å, 90.00 90.00 104.34°
Positions (direct):
Nd (0.8142, 0.6284, 0.7500)
Nd (0.1858, 0.3716, 0.2500)
Nd (0.0000, 0.0000, 0.0000)
Nd (0.0000, 0.0000, 0.5000)
Zn (0.1927, 0.3855, 0.8898)
Zn (0.8073, 0.6145, 0.1102)
Zn (0.1927, 0.3855, 0.6102)
Zn (0.8073, 0.6145, 0.3898)
Zn (0.3521, 0.7043, 0.9815)
Zn (0.6479, 0.2957, 0.0185)
Zn (0.3521, 0.7043, 0.5185)
Zn (0.6479, 0.2957, 0.4815)
Zn (0.6006, 0.2012, 0.7500)
Zn (0.3994, 0.7988, 0.2500)
Rh (0.4457, 0.8913, 0.7500)
Rh (0.5543, 0.1087, 0.2500)

=====

no.,density (Mg/m³),M_tot (μB/f.u.),DFT total energy (eV/atom)
1,9.59,0.0,-5.8279
2,10.50,0.0,-6.2160
3,8.46,0.0,-6.8809
4,8.11,3.9,-6.3110
5,11.20,0.0,-8.5470
6,7.51,0.0,-3.2979